K3Er2PuO6 after structural relaxation. Source: Alexandria, functional PBE.

a b c (Å): 6.0564 10.4900 6.5728
angles (deg): 90.00 107.89 90.00
With the nearest neighbours (Å) after each atom.
Space group C2/m (No. 12)
Asymmetric unit:
K: 0.0000 0.0000 0.0000 (multiplicity 2)  6 O 2.78-2.84
K: 0.0000 0.3323 0.0000 (multiplicity 4)  6 O 2.78-2.85
Er: 0.0000 0.1666 0.5000 (multiplicity 4)  6 O 2.31
Pu: 0.0000 0.5000 0.5000 (multiplicity 2)  6 O 2.37
O: 0.2198 0.0000 0.6854 (multiplicity 4)  2 Er 2.31, 1 Pu 2.37
O: 0.2328 0.3290 0.6853 (multiplicity 8)  2 Er 2.31, 1 Pu 2.37

## Properties
Calculated total energy ... -0.2698 hartree per atom
Total moment ... 5.000 μB per formula unit